Arrangement i

CaIrCl3: optimized geometry, PBE.

a b c (Å): 4.8734 4.8734 4.8734
angles (deg): 90.00 90.00 90.00
Fractional positions:
Ca 0.0000 0.0000 0.0000
Ir 0.5000 0.5000 0.5000
Cl 0.0000 0.5000 0.5000
Cl 0.5000 0.0000 0.5000
Cl 0.5000 0.5000 0.0000

Calculated values
ρ = 4.86 Mg/m³

***

Arrangement ii

CaIrCl3: optimized geometry, PBE.

a b c (Å): 5.3101 5.3101 5.3101
angles (deg): 90.00 90.00 90.00
Fractional positions:
Ca 0.0000 0.0000 0.0000
Ir 0.5000 0.5000 0.5000
Cl 0.0000 0.0000 0.5000
Cl 0.0000 0.5000 0.0000
Cl 0.5000 0.0000 0.0000

Calculated values
ρ = 3.76 Mg/m³

***

Which of the structures shown above is the most stable? The most stable is arrangement i.